Entry 1:
# Th3Co2Sn3 | Alexandria via LeMat-Bulk | PBE | optimized geometry
# Crystal system ... orthorhombic
# Total magnetization ... 0.00 μB/f.u.
# Final energy ... -52.21 eV/f.u.
# Energy of formation ... -0.467 eV per atom
# Symmetry ... Pnma, No. 62
data_Th3Co2Sn3
_cell_length_a 5.9540
_cell_length_b 8.2706
_cell_length_c 15.4139
_cell_angle_alpha 90.00
_cell_angle_beta 90.00
_cell_angle_gamma 90.00
_symmetry_space_group_name_H-M 'P 1'
_symmetry_Int_Tables_number 1
loop_
_symmetry_equiv_pos_as_xyz
'x,y,z'
loop_
_atom_site_label
_atom_site_type_symbol
_atom_site_fract_x
_atom_site_fract_y
_atom_site_fract_z
_atom_site_occupancy
Sn1 Sn 0.8983 0.8215 0.0356 1
Sn2 Sn 0.1017 0.1785 0.9644 1
Sn3 Sn 0.6151 0.3296 0.7500 1
Sn4 Sn 0.3983 0.6785 0.5356 1
Sn5 Sn 0.3849 0.6704 0.2500 1
Sn6 Sn 0.8983 0.8215 0.4644 1
Sn7 Sn 0.3983 0.6785 0.9644 1
Sn8 Sn 0.6017 0.3215 0.4644 1
Sn9 Sn 0.1017 0.1785 0.5356 1
Sn10 Sn 0.6017 0.3215 0.0356 1
Sn11 Sn 0.8849 0.8296 0.7500 1
Sn12 Sn 0.1151 0.1704 0.2500 1
Co1 Co 0.3579 0.3990 0.6121 1
Co2 Co 0.1421 0.8990 0.6121 1
Co3 Co 0.6421 0.6010 0.3879 1
Co4 Co 0.3579 0.3990 0.8879 1
Co5 Co 0.1421 0.8990 0.8879 1
Co6 Co 0.6421 0.6010 0.1121 1
Co7 Co 0.8579 0.1010 0.3879 1
Co8 Co 0.8579 0.1010 0.1121 1
Th1 Th 0.9037 0.5352 0.6115 1
Th2 Th 0.4037 0.9648 0.3885 1
Th3 Th 0.4037 0.9648 0.1115 1
Th4 Th 0.6285 0.3220 0.2500 1
Th5 Th 0.8715 0.8220 0.2500 1
Th6 Th 0.3715 0.6780 0.7500 1
Th7 Th 0.5963 0.0352 0.6115 1
Th8 Th 0.0963 0.4648 0.1115 1
Th9 Th 0.5963 0.0352 0.8885 1
Th10 Th 0.0963 0.4648 0.3885 1
Th11 Th 0.1285 0.1780 0.7500 1
Th12 Th 0.9037 0.5352 0.8885 1

=====

Entry 2:
# YAlP2 | Alexandria via LeMat-Bulk | PBE | optimized geometry
# Crystal system ... tetragonal
# Total magnetization ... 0.00 μB/f.u.
# Final energy ... -24.07 eV/f.u.
# Energy of formation ... -0.762 eV per atom
# Symmetry ... P4mm, No. 99
data_YAlP2
_cell_length_a 3.8306
_cell_length_b 3.8306
_cell_length_c 5.6671
_cell_angle_alpha 90.00
_cell_angle_beta 90.00
_cell_angle_gamma 90.00
_symmetry_space_group_name_H-M 'P 1'
_symmetry_Int_Tables_number 1
loop_
_symmetry_equiv_pos_as_xyz
'x,y,z'
loop_
_atom_site_label
_atom_site_type_symbol
_atom_site_fract_x
_atom_site_fract_y
_atom_site_fract_z
_atom_site_occupancy
Al1 Al 0.5000 0.5000 0.8360 1
Y1 Y 0.0000 0.0000 0.3791 1
P1 P 0.0000 0.0000 0.8834 1
P2 P 0.5000 0.5000 0.4015 1

=====

Entry 3:
# Ho2BePd | Alexandria via LeMat-Bulk | PBE | optimized geometry
# Crystal system ... tetragonal
# Energy above the most stable polymorph in this dataset ... 0 meV per atom
# Total magnetization ... 0.00 μB/f.u.
# Final energy ... -19.75 eV/f.u.
# Energy of formation ... -0.419 eV per atom
# Symmetry ... P4/mmm, No. 123
data_Ho2BePd
_cell_length_a 3.4667
_cell_length_b 3.4667
_cell_length_c 6.7988
_cell_angle_alpha 90.00
_cell_angle_beta 90.00
_cell_angle_gamma 90.00
_symmetry_space_group_name_H-M 'P 1'
_symmetry_Int_Tables_number 1
loop_
_symmetry_equiv_pos_as_xyz
'x,y,z'
loop_
_atom_site_label
_atom_site_type_symbol
_atom_site_fract_x
_atom_site_fract_y
_atom_site_fract_z
_atom_site_occupancy
Ho1 Ho 0.0000 0.0000 0.7565 1
Ho2 Ho 0.0000 0.0000 0.2435 1
Pd1 Pd 0.5000 0.5000 0.5000 1
Be1 Be 0.5000 0.5000 0.0000 1

=====

Entry 4:
# Cu3SiPd6 | Alexandria via LeMat-Bulk | PBE | optimized geometry
# Formation energy without anion corrections ... -0.26 eV/atom
# Crystal system ... monoclinic
# Energy above the most stable polymorph in this dataset ... 0 meV per atom
# Total magnetization ... 0.00 μB/f.u.
# Final energy ... -51.49 eV/f.u.
# Symmetry ... P2_1/m, No. 11
data_Cu3SiPd6
_cell_length_a 4.3960
_cell_length_b 7.2994
_cell_length_c 9.3082
_cell_angle_alpha 108.56
_cell_angle_beta 90.00
_cell_angle_gamma 90.00
_symmetry_space_group_name_H-M 'P 1'
_symmetry_Int_Tables_number 1
loop_
_symmetry_equiv_pos_as_xyz
'x,y,z'
loop_
_atom_site_label
_atom_site_type_symbol
_atom_site_fract_x
_atom_site_fract_y
_atom_site_fract_z
_atom_site_occupancy
Pd1 Pd 0.2500 0.0844 0.8681 1
Pd2 Pd 0.7500 0.5354 0.9188 1
Pd3 Pd 0.7500 0.8536 0.8245 1
Pd4 Pd 0.7500 0.9156 0.1319 1
Pd5 Pd 0.2500 0.2352 0.5004 1
Pd6 Pd 0.7500 0.3316 0.3327 1
Pd7 Pd 0.2500 0.1464 0.1755 1
Pd8 Pd 0.2500 0.4646 0.0812 1
Pd9 Pd 0.2500 0.8493 0.3143 1
Pd10 Pd 0.2500 0.6684 0.6673 1
Pd11 Pd 0.7500 0.1507 0.6857 1
Pd12 Pd 0.7500 0.7648 0.4996 1
Cu1 Cu 0.2500 0.3927 0.7885 1
Cu2 Cu 0.7500 0.4732 0.6256 1
Cu3 Cu 0.2500 0.7690 0.9763 1
Cu4 Cu 0.7500 0.2310 0.0237 1
Cu5 Cu 0.2500 0.5268 0.3744 1
Cu6 Cu 0.7500 0.6073 0.2115 1
Si1 Si 0.2500 0.9561 0.5993 1
Si2 Si 0.7500 0.0439 0.4007 1

=====

Entry 5:
# TbSmHoMg | Alexandria via LeMat-Bulk | PBE | optimized geometry
# Crystal system ... cubic
# Energy above the most stable polymorph in this dataset ... 65 meV per atom
# Total magnetization ... 0.00 μB/f.u.
# Final energy ... -15.37 eV/f.u.
# Energy of formation ... 0.037 eV per atom
# Symmetry ... F-43m, No. 216
data_TbSmHoMg
_cell_length_a 5.5298
_cell_length_b 5.5298
_cell_length_c 5.5298
_cell_angle_alpha 60.00
_cell_angle_beta 60.00
_cell_angle_gamma 60.00
_symmetry_space_group_name_H-M 'P 1'
_symmetry_Int_Tables_number 1
loop_
_symmetry_equiv_pos_as_xyz
'x,y,z'
loop_
_atom_site_label
_atom_site_type_symbol
_atom_site_fract_x
_atom_site_fract_y
_atom_site_fract_z
_atom_site_occupancy
Mg1 Mg 0.0000 0.0000 0.0000 1
Tb1 Tb 0.7500 0.7500 0.7500 1
Sm1 Sm 0.2500 0.2500 0.2500 1
Ho1 Ho 0.5000 0.5000 0.5000 1

=====

Entry 6:
# MnFe2Cu | Alexandria via LeMat-Bulk | PBE | optimized geometry
# Crystal system ... tetragonal
# Total magnetization ... 1.26 μB/f.u.
# Final energy ... -29.68 eV/f.u.
# Energy of formation ... 0.129 eV per atom
# Symmetry ... I4/mmm, No. 139
data_MnFe2Cu
_cell_length_a 4.5037
_cell_length_b 4.5037
_cell_length_c 4.5037
_cell_angle_alpha 133.66
_cell_angle_beta 133.76
_cell_angle_gamma 67.54
_symmetry_space_group_name_H-M 'P 1'
_symmetry_Int_Tables_number 1
loop_
_symmetry_equiv_pos_as_xyz
'x,y,z'
loop_
_atom_site_label
_atom_site_type_symbol
_atom_site_fract_x
_atom_site_fract_y
_atom_site_fract_z
_atom_site_occupancy
Mn1 Mn 0.7500 0.2500 0.5000 1
Fe1 Fe 0.5000 0.5000 0.0000 1
Fe2 Fe 0.0000 0.0000 0.0000 1
Cu1 Cu 0.2500 0.7500 0.5000 1